No. 1
! LiMnO2F PBE with a Hubbard U relaxed; values from VASP
! V in Å³ per cell: 57.4
! Crystal system: tetragonal
! Space-group type: P4/mmm, No. 123
! DFT total energy in eV/atom: -5.79
! DOS at the Fermi energy in states/eV/cell: 2.6
&SYSTEM
  ibrav = 0, nat = 5, ntyp = 4
/
ATOMIC_SPECIES
Mn 54.94 Mn.upf
Li 6.94 Li.upf
O 16.00 O.upf
F 19.00 F.upf
CELL_PARAMETERS angstrom
3.7620 0.0000 0.0000
0.0000 3.7620 0.0000
0.0000 0.0000 4.0558
ATOMIC_POSITIONS crystal
Mn 0.0000 0.0000 0.0000
Li 0.5000 0.5000 0.5000
O 0.0000 0.5000 0.0000
O 0.5000 0.0000 0.0000
F 0.0000 0.0000 0.5000


No. 2
! Li6MnO3F2 PBE with a Hubbard U relaxed; values from VASP
! V in Å³ per cell: 247.0
! Crystal system: monoclinic
! Space-group type: C2/c, No. 15
! DFT total energy in eV/atom: -5.20
! DOS at the Fermi energy in states/eV/cell: 0.0
&SYSTEM
  ibrav = 0, nat = 24, ntyp = 4
/
ATOMIC_SPECIES
Li 6.94 Li.upf
Mn 54.94 Mn.upf
O 16.00 O.upf
F 19.00 F.upf
CELL_PARAMETERS angstrom
2.5389 5.0207 -0.0018
-2.5389 5.0207 -0.0018
0.0000 0.7397 9.6886
ATOMIC_POSITIONS crystal
Li 0.7229 0.6077 0.7270
Li 0.6077 0.7229 0.2270
Li 0.2024 0.2559 0.0115
Li 0.2559 0.2024 0.5115
Li 0.7976 0.7441 0.9885
Li 0.7441 0.7976 0.4885
Li 0.2771 0.3923 0.2730
Li 0.3923 0.2771 0.7730
Li 0.3116 0.6665 0.4380
Li 0.3335 0.6884 0.0620
Li 0.6884 0.3335 0.5620
Li 0.6665 0.3116 0.9380
Mn 0.1523 0.8477 0.7500
Mn 0.8477 0.1523 0.2500
O 0.7991 0.4240 0.0791
O 0.4240 0.7991 0.5791
O 0.5760 0.2009 0.4209
O 0.2009 0.5760 0.9209
O 0.2420 0.7580 0.2500
O 0.7580 0.2420 0.7500
F 0.9321 0.4599 0.3705
F 0.4599 0.9321 0.8705
F 0.5401 0.0679 0.1295
F 0.0679 0.5401 0.6295


No. 3
! LiMn3O2F6 PBE with a Hubbard U relaxed; values from VASP
! V in Å³ per cell: 272.7
! Crystal system: triclinic
! Space-group type: P-1, No. 2
! Energy above the most stable polymorph in this dataset in meV/atom: 38
! DFT total energy in eV/atom: -6.06
! DOS at the Fermi energy in states/eV/cell: 1.6
&SYSTEM
  ibrav = 0, nat = 24, ntyp = 4
/
ATOMIC_SPECIES
Li 6.94 Li.upf
Mn 54.94 Mn.upf
O 16.00 O.upf
F 19.00 F.upf
CELL_PARAMETERS angstrom
5.2220 0.0071 0.0021
-0.0353 6.9869 0.0020
-0.1253 -1.4036 7.4735
ATOMIC_POSITIONS crystal
Li 0.7811 0.1649 0.8346
Li 0.2189 0.8351 0.1654
Mn 0.7178 0.6649 0.8200
Mn 0.2440 0.8289 0.6708
Mn 0.7338 0.6866 0.3170
Mn 0.2662 0.3134 0.6830
Mn 0.7560 0.1711 0.3292
Mn 0.2822 0.3351 0.1800
O 0.4086 0.5773 0.6949
O 0.8912 0.9241 0.3065
O 0.1088 0.0759 0.6935
O 0.5914 0.4227 0.3051
F 0.5810 0.9228 0.8178
F 0.0424 0.7966 0.9035
F 0.8987 0.6884 0.5612
F 0.9057 0.4258 0.8052
F 0.4325 0.3107 0.9196
F 0.4031 0.8144 0.4339
F 0.5969 0.1856 0.5661
F 0.5675 0.6893 0.0804
F 0.0943 0.5742 0.1948
F 0.1013 0.3116 0.4388
F 0.9576 0.2034 0.0965
F 0.4190 0.0772 0.1822


No. 4
! LiMn2O2F3 PBE with a Hubbard U relaxed; values from VASP
! V in Å³ per cell: 197.0
! Crystal system: monoclinic
! Space-group type: Cm, No. 8
! Energy above the most stable polymorph in this dataset in meV/atom: 21
! DFT total energy in eV/atom: -6.25
! DOS at the Fermi energy in states/eV/cell: 1.4
&SYSTEM
  ibrav = 0, nat = 16, ntyp = 4
/
ATOMIC_SPECIES
Li 6.94 Li.upf
Mn 54.94 Mn.upf
O 16.00 O.upf
F 19.00 F.upf
CELL_PARAMETERS angstrom
-0.3519 -0.3302 -5.4104
0.4306 -3.8313 -3.8264
-9.7139 -2.0487 0.2709
ATOMIC_POSITIONS crystal
Li 0.6967 0.6967 0.2316
Li 0.3702 0.3702 0.0701
Mn 0.6362 0.6362 0.5814
Mn 0.6531 0.6531 0.9331
Mn 0.3037 0.3037 0.7523
Mn 0.3641 0.3641 0.4409
O 0.7468 0.7468 0.7514
O 0.4374 0.4374 0.6098
O 0.1809 0.1809 0.9085
O 0.1844 0.1844 0.5869
F 0.5566 0.5566 0.1054
F 0.8195 0.8195 0.4418
F 0.5606 0.5606 0.3843
F 0.8132 0.8132 0.0651
F 0.2822 0.2822 0.2687
F 0.4505 0.4505 0.8724


No. 5
! LiMnOF2 PBE with a Hubbard U relaxed; values from VASP
! V in Å³ per cell: 211.0
! Crystal system: orthorhombic
! Space-group type: Pnma, No. 62
! Energy above the most stable polymorph in this dataset in meV/atom: 74
! DFT total energy in eV/atom: -5.91
&SYSTEM
  ibrav = 0, nat = 20, ntyp = 4
/
ATOMIC_SPECIES
Li 6.94 Li.upf
Mn 54.94 Mn.upf
O 16.00 O.upf
F 19.00 F.upf
CELL_PARAMETERS angstrom
-0.5532 5.3062 -0.6943
-5.1213 0.1068 4.8967
3.7819 0.9093 3.9355
ATOMIC_POSITIONS crystal
Li 0.0387 0.2500 0.0507
Li 0.4613 0.7500 0.5507
Li 0.5387 0.2500 0.4493
Li 0.9613 0.7500 0.9493
Mn 0.0000 0.0000 0.5000
Mn 0.0000 0.5000 0.5000
Mn 0.5000 0.0000 0.0000
Mn 0.5000 0.5000 0.0000
O 0.0705 0.7500 0.6020
O 0.4295 0.2500 0.1020
O 0.5705 0.7500 0.8980
O 0.9295 0.2500 0.3980
F 0.1722 0.5629 0.1482
F 0.1722 0.9371 0.1482
F 0.3278 0.0629 0.6482
F 0.3278 0.4371 0.6482
F 0.6722 0.9371 0.3518
F 0.6722 0.5629 0.3518
F 0.8278 0.0629 0.8518
F 0.8278 0.4371 0.8518


No. 6
! LiMnOF2 PBE with a Hubbard U relaxed; values from VASP
! V in Å³ per cell: 229.2
! Crystal system: triclinic
! Space-group type: P-1, No. 2
! Energy above the most stable polymorph in this dataset in meV/atom: 60
! DFT total energy in eV/atom: -5.92
&SYSTEM
  ibrav = 0, nat = 20, ntyp = 4
/
ATOMIC_SPECIES
Li 6.94 Li.upf
Mn 54.94 Mn.upf
O 16.00 O.upf
F 19.00 F.upf
CELL_PARAMETERS angstrom
-5.1760 -0.0790 -0.2454
2.4872 4.7176 0.4688
-0.4463 -3.6759 -9.7580
ATOMIC_POSITIONS crystal
Li 0.7273 0.0596 0.5722
Li 0.2727 0.9404 0.4278
Li 0.8135 0.1976 0.9897
Li 0.1865 0.8024 0.0103
Mn 0.8589 0.0789 0.2527
Mn 0.1411 0.9211 0.7473
Mn 0.4312 0.5544 0.7473
Mn 0.5688 0.4456 0.2527
O 0.6059 0.8546 0.3560
O 0.4273 0.9360 0.8539
O 0.5727 0.0640 0.1461
O 0.3941 0.1454 0.6440
F 0.1532 0.3761 0.8853
F 0.9196 0.5536 0.3722
F 0.0804 0.4464 0.6278
F 0.7676 0.7934 0.6385
F 0.1656 0.2461 0.1326
F 0.8468 0.6239 0.1147
F 0.2324 0.2066 0.3615
F 0.8344 0.7539 0.8674


- Which value of V does entry 1 give?
  57.4 Å³ per cell